This record from Alexandria describes a relaxed LiH3Pd crystal. The functional is GGA-PBE.

a = 4.749 Å, b = 4.750 Å, c = 4.941 Å
α = 75.20°, β = 104.53°, γ = 65.73°
Fractional coordinates of all 10 atoms:
H 0.034 0.034 0.579
H 0.554 0.798 0.645
H 0.404 0.663 0.140
H 0.796 0.921 0.104
H 0.292 0.426 0.615
H 0.168 0.182 0.072
Pd 0.199 0.830 0.359
Pd 0.386 0.015 0.859
Li 0.040 0.666 0.862
Li 0.854 0.489 0.364

total magnetic moment	0.0	μB per formula unit
space-group type	P1, No. 1
total energy	-36.559	eV for the cell shown

This record from Alexandria describes a relaxed SnPdIO2 crystal. The functional is GGA-PBE.

a = 3.935 Å, b = 3.935 Å, c = 6.820 Å
α = 90.00°, β = 90.00°, γ = 90.00°
Fractional coordinates of all 5 atoms:
I 0.000 0.000 0.500
O 0.000 0.500 0.000
O 0.500 0.000 0.000
Sn 0.000 0.000 0.000
Pd 0.500 0.500 0.500

total magnetic moment	0.0	μB per formula unit
uncorrected formation energy	-0.420	eV per atom
space-group type	P4/mmm, No. 123
energy relative to the lowest polymorph listed for this composition	0.0	kJ/mol of atoms
total energy	-22.760	eV for the cell shown

This record from Alexandria describes a relaxed BaLiHgPb crystal. The functional is GGA-PBE.

a = 4.817 Å, b = 4.817 Å, c = 6.844 Å
α = 69.40°, β = 69.40°, γ = 60.00°
Fractional coordinates of all 4 atoms:
Ba 0.813 0.813 0.560
Li 0.622 0.622 0.133
Hg 0.272 0.272 0.185
Pb 0.019 0.019 0.944

DFT formation energy	-0.41	eV/atom
total magnetic moment	0.0	μB per formula unit
space-group type	R3m, No. 160
energy relative to the lowest polymorph listed for this composition	0.0	kJ/mol of atoms
total energy	-9.467	eV for the cell shown

This record from Alexandria describes a relaxed Na11Hg4Bi9 crystal. The functional is GGA-PBE.

a = 4.779 Å, b = 12.667 Å, c = 12.667 Å
α = 112.04°, β = 90.00°, γ = 90.00°
Fractional coordinates of all 24 atoms:
Na 0.000 0.592 0.937
Na 0.000 0.408 0.063
Na 0.000 0.937 0.592
Na 0.000 0.063 0.408
Na 0.000 0.641 0.359
Na 0.000 0.359 0.641
Na 0.000 0.832 0.168
Na 0.000 0.168 0.832
Na 0.000 0.000 0.000
Na 0.000 0.727 0.727
Na 0.000 0.273 0.273
Hg 0.500 0.558 0.757
Hg 0.500 0.442 0.243
Hg 0.500 0.757 0.558
Hg 0.500 0.243 0.442
Bi 0.500 0.632 0.147
Bi 0.500 0.368 0.853
Bi 0.500 0.147 0.632
Bi 0.500 0.853 0.368
Bi 0.500 0.796 0.951
Bi 0.500 0.204 0.049
Bi 0.500 0.951 0.796
Bi 0.500 0.049 0.204
Bi 0.500 0.500 0.500

DFT formation energy	-0.25	eV/atom
total magnetic moment	0.0	μB per formula unit
space-group type	Cmmm, No. 65
total energy	-56.701	eV for the cell shown

This record from Alexandria describes a relaxed Dy5SiNi2 crystal. The functional is GGA-PBE.

a = 7.529 Å, b = 7.529 Å, c = 8.372 Å
α = 116.72°, β = 116.72°, γ = 90.00°
Fractional coordinates of all 16 atoms:
Dy 0.520 0.696 0.716
Dy 0.804 0.980 0.284
Dy 0.000 0.000 0.000
Dy 0.500 0.500 0.000
Dy 0.196 0.020 0.716
Dy 0.696 0.196 0.716
Dy 0.020 0.520 0.716
Dy 0.304 0.804 0.284
Dy 0.980 0.480 0.284
Dy 0.480 0.304 0.284
Si 0.750 0.750 0.500
Si 0.250 0.250 0.500
Ni 0.126 0.374 0.000
Ni 0.626 0.126 0.000
Ni 0.374 0.874 0.000
Ni 0.874 0.626 0.000

total magnetic moment	0.0	μB per formula unit
uncorrected formation energy	-0.431	eV per atom
space-group type	I4/mcm, No. 140
total energy	-86.892	eV for the cell shown

This record from Alexandria describes a relaxed LiAcTcO6 crystal. The functional is GGA-PBE.

a = 5.245 Å, b = 5.246 Å, c = 5.226 Å
α = 88.61°, β = 87.16°, γ = 57.37°
Each line ends with the local moment (μB).
Fractional coordinates of all 9 atoms:
Li 0.653 0.671 0.506  0.01
Ac 0.007 0.986 0.077  0.00
Tc 0.344 0.343 0.534  -0.02
O 0.047 0.401 0.248  0.51
O 0.310 0.052 0.700  0.00
O 0.636 0.316 0.723  0.02
O 0.007 0.673 0.667  0.00
O 0.455 0.536 0.281  0.03
O 0.540 0.021 0.264  0.29

total magnetic moment	1.0	μB per formula unit
uncorrected formation energy	-1.855	eV per atom
space-group type	P1, No. 1
total energy	-62.831	eV for the cell shown

This record from Alexandria describes a relaxed LaWCl crystal. The functional is GGA-PBE.

a = 5.085 Å, b = 5.085 Å, c = 5.085 Å
α = 60.00°, β = 60.00°, γ = 60.00°
Each line ends with the local moment (μB).
Fractional coordinates of all 3 atoms:
Cl 0.500 0.500 0.500  0.07
W 0.000 0.000 0.000  2.74
La 0.750 0.750 0.750  0.26

total magnetic moment	4.0	μB per formula unit
uncorrected formation energy	1.034	eV per atom
space-group type	F-43m, No. 216
energy relative to the lowest polymorph listed for this composition	71.1	kJ/mol of atoms
total energy	-16.624	eV for the cell shown

This record from Alexandria describes a relaxed LaY crystal. The functional is GGA-PBE.

a = 5.884 Å, b = 5.884 Å, c = 6.419 Å
α = 90.00°, β = 90.00°, γ = 120.00°
Fractional coordinates of all 4 atoms:
La 0.333 0.667 0.750
La 0.667 0.333 0.250
Y 0.333 0.667 0.250
Y 0.667 0.333 0.750

DFT formation energy	1.21	eV/atom
total magnetic moment	0.0	μB per formula unit
space-group type	P6_3/mmc, No. 194
energy relative to the lowest polymorph listed for this composition	116.8	kJ/mol of atoms
total energy	-17.925	eV for the cell shown

This record from Alexandria describes a relaxed SmMg9Sc2 crystal. The functional is GGA-PBE.

a = 5.935 Å, b = 5.935 Å, c = 10.192 Å
α = 73.07°, β = 73.07°, γ = 60.00°
Fractional coordinates of all 12 atoms:
Sm 0.000 0.000 0.000
Mg 0.666 0.666 0.002
Mg 0.334 0.334 0.998
Mg 0.500 0.500 0.500
Mg 0.410 0.410 0.260
Mg 0.920 0.410 0.260
Mg 0.410 0.920 0.260
Mg 0.590 0.590 0.740
Mg 0.590 0.080 0.740
Mg 0.080 0.590 0.740
Sc 0.854 0.854 0.438
Sc 0.146 0.146 0.562

DFT formation energy	0.00	eV/atom
total magnetic moment	0.0	μB per formula unit
space-group type	R-3m, No. 166
total energy	-31.691	eV for the cell shown

This record from Alexandria describes a relaxed SiMo2Br crystal. The functional is GGA-PBE.

a = 4.658 Å, b = 3.050 Å, c = 4.494 Å
α = 90.00°, β = 90.00°, γ = 90.00°
Fractional coordinates of all 4 atoms:
Br 0.500 0.875 0.742
Mo 0.000 0.875 0.026
Mo 0.500 0.375 0.235
Si 0.000 0.375 0.496

total magnetic moment	0.0	μB per formula unit
uncorrected formation energy	0.362	eV per atom
space-group type	Pmm2, No. 25
energy relative to the lowest polymorph listed for this composition	21.6	kJ/mol of atoms
total energy	-27.312	eV for the cell shown

This record from Alexandria describes a relaxed Zr2ScPN crystal. The functional is GGA-PBE.

a = 5.243 Å, b = 3.513 Å, c = 5.243 Å
α = 90.00°, β = 90.00°, γ = 90.00°
Fractional coordinates of all 5 atoms:
Sc 0.500 0.500 0.500
P 0.000 0.000 0.000
Zr 0.000 0.000 0.500
Zr 0.500 0.000 0.000
N 0.000 0.500 0.000

total magnetic moment	0.0	μB per formula unit
uncorrected formation energy	0.360	eV per atom
space-group type	P4/mmm, No. 123
total energy	-35.362	eV for the cell shown

This record from Alexandria describes a relaxed CsNaHg2B crystal. The functional is GGA-PBE.

a = 4.922 Å, b = 5.583 Å, c = 4.922 Å
α = 90.00°, β = 90.00°, γ = 90.00°
Fractional coordinates of all 5 atoms:
Cs 0.500 0.500 0.500
Na 0.000 0.500 0.000
B 0.000 0.000 0.000
Hg 0.000 0.000 0.500
Hg 0.500 0.000 0.000

DFT formation energy	0.37	eV/atom
total magnetic moment	0.0	μB per formula unit
space-group type	P4/mmm, No. 123
total energy	-7.580	eV for the cell shown